Model w:
# PBE with a Hubbard U CrH2F, optimized geometry
# Total magnetic moment: 3.0 μB per formula unit
# Calculated volume: 10.37 Å³ per atom
data_CrH2F
_chemical_formula_sum 'Cr4 H8 F4'
_space_group_name_H-M_alt 'I -4 2 d'
_space_group_IT_number 122
_space_group_name_Hall 'I -4 2bw'
_cell_length_a 6.510
_cell_length_b 6.510
_cell_length_c 3.917
_cell_angle_alpha 90.00
_cell_angle_beta 90.00
_cell_angle_gamma 90.00
loop_
_atom_site_label
_atom_site_fract_x
_atom_site_fract_y
_atom_site_fract_z
_atom_site_occupancy
Cr1 0.000 0.000 0.000 1
H1 0.100 0.250 0.125 1
F1 0.000 0.000 0.500 1

Model x:
# PBE with a Hubbard U CrH2F, optimized geometry
# Total magnetic moment: 3.0 μB per formula unit
# Calculated volume: 7.62 Å³ per atom
data_CrH2F
_chemical_formula_sum 'Cr4 H8 F4'
_space_group_name_H-M_alt 'F m -3 m'
_space_group_IT_number 225
_space_group_name_Hall '-F 4 2 3'
_cell_length_a 4.959
_cell_length_b 4.959
_cell_length_c 4.959
_cell_angle_alpha 90.00
_cell_angle_beta 90.00
_cell_angle_gamma 90.00
loop_
_atom_site_label
_atom_site_fract_x
_atom_site_fract_y
_atom_site_fract_z
_atom_site_occupancy
Cr1 0.000 0.000 0.000 1
H1 0.250 0.250 0.250 1
F1 0.000 0.000 0.500 1

Energies relative to the most stable structure are model w 0.0; model x 45.7, reported in kJ/mol of atoms.

Model w:
# PBE with a Hubbard U CrHN2F, optimized geometry
# Total magnetic moment: 3.2 μB per formula unit
# Calculated volume: 8.15 Å³ per atom
data_CrHN2F
_chemical_formula_sum 'Cr1 H1 N2 F1'
_space_group_name_H-M_alt 'P 4/m m m'
_space_group_IT_number 123
_space_group_name_Hall '-P 4 2'
_cell_length_a 3.029
_cell_length_b 3.029
_cell_length_c 4.441
_cell_angle_alpha 90.00
_cell_angle_beta 90.00
_cell_angle_gamma 90.00
loop_
_atom_site_label
_atom_site_fract_x
_atom_site_fract_y
_atom_site_fract_z
_atom_site_occupancy
Cr1 0.000 0.000 0.000 1
H1 0.500 0.500 0.500 1
N1 0.000 0.500 0.500 1
F1 0.500 0.500 0.000 1

Model x:
# PBE with a Hubbard U CrHN2F, optimized geometry
# Total magnetic moment: 0.0 μB per formula unit
# Calculated volume: 11.66 Å³ per atom
data_CrHN2F
_chemical_formula_sum 'Cr1 H1 N2 F1'
_space_group_name_H-M_alt 'P 4/m m m'
_space_group_IT_number 123
_space_group_name_Hall '-P 4 2'
_cell_length_a 3.848
_cell_length_b 3.848
_cell_length_c 3.937
_cell_angle_alpha 90.00
_cell_angle_beta 90.00
_cell_angle_gamma 90.00
loop_
_atom_site_label
_atom_site_fract_x
_atom_site_fract_y
_atom_site_fract_z
_atom_site_occupancy
Cr1 0.000 0.000 0.000 1
H1 0.500 0.500 0.500 1
N1 0.000 0.500 0.000 1
F1 0.000 0.000 0.500 1

Energies relative to the most stable structure are model w 17.1; model x 0.0, reported in kJ/mol of atoms.

Model w:
# PBE with a Hubbard U HfCr2F, optimized geometry
# Total magnetic moment: 8.9 μB per formula unit
# Calculated volume: 17.63 Å³ per atom
data_HfCr2F
_chemical_formula_sum 'Hf4 Cr8 F4'
_space_group_name_H-M_alt 'I -4 2 d'
_space_group_IT_number 122
_space_group_name_Hall 'I -4 2bw'
_cell_length_a 7.236
_cell_length_b 7.236
_cell_length_c 5.387
_cell_angle_alpha 90.00
_cell_angle_beta 90.00
_cell_angle_gamma 90.00
loop_
_atom_site_label
_atom_site_fract_x
_atom_site_fract_y
_atom_site_fract_z
_atom_site_occupancy
Hf1 0.000 0.000 0.000 1
Cr1 0.183 0.250 0.625 1
F1 0.000 0.000 0.500 1

Model x:
# PBE with a Hubbard U HfCr2F, optimized geometry
# Total magnetic moment: 9.0 μB per formula unit
# Calculated volume: 18.98 Å³ per atom
data_HfCr2F
_chemical_formula_sum 'Hf4 Cr8 F4'
_space_group_name_H-M_alt 'F m -3 m'
_space_group_IT_number 225
_space_group_name_Hall '-F 4 2 3'
_cell_length_a 6.722
_cell_length_b 6.722
_cell_length_c 6.722
_cell_angle_alpha 90.00
_cell_angle_beta 90.00
_cell_angle_gamma 90.00
loop_
_atom_site_label
_atom_site_fract_x
_atom_site_fract_y
_atom_site_fract_z
_atom_site_occupancy
Hf1 0.000 0.000 0.000 1
Cr1 0.250 0.250 0.250 1
F1 0.000 0.000 0.500 1

Energies relative to the most stable structure are model w 0.0; model x 53.9, reported in kJ/mol of atoms.

Model w:
# PBE with a Hubbard U HfCrN2F, optimized geometry
# Total magnetic moment: 3.0 μB per formula unit
# Calculated volume: 11.22 Å³ per atom
data_HfCrN2F
_chemical_formula_sum 'Hf1 Cr1 N2 F1'
_space_group_name_H-M_alt 'P 4/m m m'
_space_group_IT_number 123
_space_group_name_Hall '-P 4 2'
_cell_length_a 3.949
_cell_length_b 3.949
_cell_length_c 3.596
_cell_angle_alpha 90.00
_cell_angle_beta 90.00
_cell_angle_gamma 90.00
loop_
_atom_site_label
_atom_site_fract_x
_atom_site_fract_y
_atom_site_fract_z
_atom_site_occupancy
Hf1 0.000 0.000 0.000 1
Cr1 0.500 0.500 0.500 1
N1 0.000 0.500 0.500 1
F1 0.500 0.500 0.000 1

Model x:
# PBE with a Hubbard U HfCrN2F, optimized geometry
# Total magnetic moment: 3.2 μB per formula unit
# Calculated volume: 14.32 Å³ per atom
data_HfCrN2F
_chemical_formula_sum 'Hf1 Cr1 N2 F1'
_space_group_name_H-M_alt 'P 4/m m m'
_space_group_IT_number 123
_space_group_name_Hall '-P 4 2'
_cell_length_a 4.207
_cell_length_b 4.207
_cell_length_c 4.045
_cell_angle_alpha 90.00
_cell_angle_beta 90.00
_cell_angle_gamma 90.00
loop_
_atom_site_label
_atom_site_fract_x
_atom_site_fract_y
_atom_site_fract_z
_atom_site_occupancy
Hf1 0.000 0.000 0.000 1
Cr1 0.500 0.500 0.500 1
N1 0.000 0.500 0.000 1
F1 0.000 0.000 0.500 1

Energies relative to the most stable structure are model w 12.2; model x 0.0, reported in kJ/mol of atoms.